VASP calculation (GGA-PBE) on a geometry-optimized NbSiSN2 structure.

abc: 3.9933 3.9933 5.1583
angles: 90.00 90.00 90.00
Site moments in Bohr magnetons follow the coordinates.
Element x y z (fractional)
Nb (0.0000, 0.0000, 0.0000)  -0.02
Si (0.5000, 0.5000, 0.5000)  -0.01
S (0.0000, 0.0000, 0.5000)  0.00
N (0.0000, 0.5000, 0.0000)  0.16
N (0.5000, 0.0000, 0.0000)  0.16

Properties
- Space-group type: No. 123
- Size of the total moment: 0.4 μB per cell
- N(E_F): 2.2 states/eV/cell
- E_form (uncorrected): 0.448 eV/atom


VASP calculation (GGA-PBE) on a geometry-optimized NbSiSN2 structure.

abc: 3.5892 3.5892 4.5980
angles: 90.00 90.00 90.00
Site moments in Bohr magnetons follow the coordinates.
Element x y z (fractional)
Nb (0.5000, 0.5000, 0.5000)  0.58
Si (0.0000, 0.0000, 0.0000)  0.01
S (0.0000, 0.0000, 0.5000)  -0.01
N (0.0000, 0.5000, 0.0000)  -0.03
N (0.5000, 0.0000, 0.0000)  -0.03

Properties
- Space-group type: No. 123
- Size of the total moment: 0.6 μB per cell
- N(E_F): 3.0 states/eV/cell
- E_form (uncorrected): 0.326 eV/atom


VASP calculation (GGA-PBE) on a geometry-optimized NbSnS2N structure.

abc: 5.0145 5.0145 3.9148
angles: 90.00 90.00 90.00
Site moments in Bohr magnetons follow the coordinates.
Element x y z (fractional)
S (0.0000, 0.5000, 0.0000)  -0.12
S (0.5000, 0.0000, 0.0000)  -0.12
Nb (0.5000, 0.5000, 0.5000)  2.27
Sn (0.0000, 0.0000, 0.0000)  0.03
N (0.0000, 0.0000, 0.5000)  -0.40

Properties
- Space-group type: No. 123
- Size of the total moment: 1.9 μB per cell
- N(E_F): 3.5 states/eV/cell
- E_form (uncorrected): 0.897 eV/atom


VASP calculation (GGA-PBE) on a geometry-optimized NbSnS2N structure.

abc: 5.0012 5.0012 3.9376
angles: 90.00 90.00 90.00
Element x y z (fractional)
S (0.0000, 0.5000, 0.0000)
S (0.5000, 0.0000, 0.0000)
Nb (0.0000, 0.0000, 0.0000)
Sn (0.5000, 0.5000, 0.5000)
N (0.0000, 0.0000, 0.5000)

Properties
- Space-group type: No. 123
- Size of the total moment: 0.0 μB per cell
- N(E_F): 1.7 states/eV/cell
- E_form (uncorrected): -0.264 eV/atom


VASP calculation (GGA-PBE) on a geometry-optimized TaNb2SN structure.

abc: 4.9762 4.4699 4.9762
angles: 90.00 90.00 90.00
Element x y z (fractional)
Nb (0.0000, 0.0000, 0.5000)
Nb (0.5000, 0.0000, 0.0000)
N (0.5000, 0.5000, 0.5000)
S (0.0000, 0.5000, 0.0000)
Ta (0.0000, 0.0000, 0.0000)

Properties
- Space-group type: No. 123
- Size of the total moment: 0.0 μB per cell
- N(E_F): 7.1 states/eV/cell
- E_form (uncorrected): 2.086 eV/atom


VASP calculation (GGA-PBE) on a geometry-optimized TaNb2SN structure.

abc: 4.5436 4.5000 4.5436
angles: 90.00 90.00 90.00
Element x y z (fractional)
Nb (0.0000, 0.0000, 0.5000)
Nb (0.5000, 0.0000, 0.0000)
N (0.5000, 0.5000, 0.5000)
S (0.0000, 0.0000, 0.0000)
Ta (0.0000, 0.5000, 0.0000)

Properties
- Space-group type: No. 123
- Size of the total moment: 0.0 μB per cell
- N(E_F): 10.3 states/eV/cell
- E_form (uncorrected): 1.327 eV/atom


VASP calculation (GGA-PBE) on a geometry-optimized NbTcS2N structure.

abc: 4.7814 4.7814 3.6723
angles: 90.00 90.00 90.00
Site moments in Bohr magnetons follow the coordinates.
Element x y z (fractional)
S (0.0000, 0.5000, 0.0000)  -0.08
S (0.5000, 0.0000, 0.0000)  -0.08
Nb (0.5000, 0.5000, 0.5000)  1.91
Tc (0.0000, 0.0000, 0.0000)  -0.04
N (0.0000, 0.0000, 0.5000)  -0.01

Properties
- Space-group type: No. 123
- Size of the total moment: 2.0 μB per cell
- N(E_F): 5.6 states/eV/cell
- E_form (uncorrected): 0.411 eV/atom


VASP calculation (GGA-PBE) on a geometry-optimized NbTcS2N structure.

abc: 4.9366 4.9366 3.8975
angles: 90.00 90.00 90.00
Site moments in Bohr magnetons follow the coordinates.
Element x y z (fractional)
S (0.0000, 0.5000, 0.0000)  0.09
S (0.5000, 0.0000, 0.0000)  0.09
Nb (0.0000, 0.0000, 0.0000)  0.04
Tc (0.5000, 0.5000, 0.5000)  3.88
N (0.0000, 0.0000, 0.5000)  0.18

Properties
- Space-group type: No. 123
- Size of the total moment: 4.9 μB per cell
- N(E_F): 2.4 states/eV/cell
- E_form (uncorrected): 0.488 eV/atom


VASP calculation (GGA-PBE) on a geometry-optimized NbTeS2N structure.

abc: 5.0924 5.0924 3.8737
angles: 90.00 90.00 90.00
Site moments in Bohr magnetons follow the coordinates.
Element x y z (fractional)
Nb (0.5000, 0.5000, 0.5000)  2.35
Te (0.0000, 0.0000, 0.0000)  0.02
S (0.0000, 0.5000, 0.0000)  -0.10
S (0.5000, 0.0000, 0.0000)  -0.10
N (0.0000, 0.0000, 0.5000)  -0.05

Properties
- Space-group type: No. 123
- Size of the total moment: 2.6 μB per cell
- N(E_F): 4.2 states/eV/cell
- E_form (uncorrected): 1.123 eV/atom


VASP calculation (GGA-PBE) on a geometry-optimized NbTeS2N structure.

abc: 5.0023 5.0023 3.9081
angles: 90.00 90.00 90.00
Element x y z (fractional)
Nb (0.0000, 0.0000, 0.0000)
Te (0.5000, 0.5000, 0.5000)
S (0.0000, 0.5000, 0.0000)
S (0.5000, 0.0000, 0.0000)
N (0.0000, 0.0000, 0.5000)

Properties
- Space-group type: No. 123
- Size of the total moment: 0.0 μB per cell
- N(E_F): 3.9 states/eV/cell
- E_form (uncorrected): 0.120 eV/atom


VASP calculation (GGA-PBE) on a geometry-optimized TiNbSN2 structure.

abc: 3.8585 3.8585 4.7187
angles: 90.00 90.00 90.00
Site moments in Bohr magnetons follow the coordinates.
Element x y z (fractional)
Nb (0.5000, 0.5000, 0.5000)  1.31
N (0.0000, 0.5000, 0.0000)  -0.10
N (0.5000, 0.0000, 0.0000)  -0.10
S (0.0000, 0.0000, 0.5000)  -0.04
Ti (0.0000, 0.0000, 0.0000)  0.03

Properties
- Space-group type: No. 123
- Size of the total moment: 1.2 μB per cell
- N(E_F): 4.4 states/eV/cell
- E_form (uncorrected): 0.157 eV/atom


VASP calculation (GGA-PBE) on a geometry-optimized TiNbS2N structure.

abc: 4.8696 4.8696 3.8863
angles: 90.00 90.00 90.00
Site moments in Bohr magnetons follow the coordinates.
Element x y z (fractional)
Nb (0.0000, 0.0000, 0.0000)  0.00
N (0.0000, 0.0000, 0.5000)  0.02
S (0.0000, 0.5000, 0.0000)  0.03
S (0.5000, 0.0000, 0.0000)  0.03
Ti (0.5000, 0.5000, 0.5000)  -0.11

Properties
- Space-group type: No. 123
- Size of the total moment: 0.0 μB per cell
- N(E_F): 5.4 states/eV/cell
- E_form (uncorrected): -0.065 eV/atom